Entry from the Alexandria database: Y8GeSe3S3 after structural relaxation (PBE).

The structure in extended XYZ format:
```
15
Lattice="3.988 2.302 6.608 -3.988 2.302 6.608 0.000 -4.605 6.608" Properties=species:S:1:pos:R:3 pbc="T T T"
Y -2.027 -1.170 11.480
Y 0.000 0.000 4.805
Y 0.000 -2.341 8.345
Y -2.027 1.170 8.345
Y 2.027 -1.170 11.480
Y 0.000 2.341 11.480
Y 0.000 0.000 15.020
Y 2.027 1.170 8.345
Ge 0.000 0.000 9.913
Se -1.994 -1.151 6.608
Se -1.994 1.151 13.217
Se 0.000 2.302 6.608
S -3.988 0.000 9.913
S -1.994 1.151 3.304
S 1.994 1.151 3.304
```

Output
formation energy (no corrections): -1667 meV per atom